Record 1
This record from the Alexandria database describes Ca2In3Sn after structural relaxation. The functional is GGA-PBE.

- final energy (eV per atom) = -3.079
- space group = Pmm2 (25)
- total magnetic moment (μB per formula unit) = 0.00
- energy relative to the elements (eV per atom) = -0.3754
- N(E_F) (states/eV/cell) = 2.69

Unit cell a=3.5554 b=5.3198 c=8.7341 alpha=90.00 beta=90.00 gamma=90.00
Last column: nearest neighbours and their distance in Å.
Fractional coordinates of all 6 atoms:
Ca  0.0000  0.0000  0.4963  8 In 3.38-3.54, 4 Sn 3.50, 2 Ca 3.56
Ca  0.0000  0.5000  0.0038  2 Sn 3.38, 10 In 3.41-3.54, 2 Ca 3.56
In  0.5000  0.0000  0.8293  3 In 2.95-3.00
In  0.5000  0.0000  0.1673  1 In 2.95, 2 Sn 3.03
In  0.5000  0.5000  0.6708  1 Sn 2.96, 2 In 3.00
Sn  0.5000  0.5000  0.3325  3 In 2.96-3.03

Record 2
This record from the Alexandria database describes LaYMg2 after structural relaxation. The functional is GGA-PBE.

- final energy (eV per atom) = -3.632
- space group = Pmm2 (25)
- total magnetic moment (μB per formula unit) = 0.00
- energy relative to the elements (eV per atom) = 0.0131
- N(E_F) (states/eV/cell) = 4.03

Unit cell a=3.4151 b=5.0307 c=6.8634 alpha=90.00 beta=90.00 gamma=90.00
Last column: nearest neighbours and their distance in Å.
Fractional coordinates of all 4 atoms:
Y  0.0000  0.0000  0.4789  6 Mg 3.28-3.58, 2 Y 3.42, 4 La 3.61
Mg  0.0000  0.0000  0.0009  2 Y 3.28-3.58, 6 Mg 3.42-3.51, 4 La 3.45
Mg  0.5000  0.5000  0.2572  2 La 3.39-3.47, 4 Y 3.40, 6 Mg 3.42-3.51
La  0.5000  0.5000  0.7630  6 Mg 3.39-3.47, 2 La 3.42, 4 Y 3.61

Record 3
This record from the Alexandria database describes Cs2Hf3AgO8 after structural relaxation. The functional is GGA-PBE.

- final energy (eV per atom) = -7.823
- space group = R3m (160)
- total magnetic moment (μB per formula unit) = 1.05
- N(E_F) (states/eV/cell) = 3.28
- uncorrected formation energy (eV per atom) = -2.5310

Unit cell a=6.5305 b=6.5305 c=8.2061 alpha=66.55 beta=66.55 gamma=60.00
Last column: nearest neighbours and their distance in Å.
Fractional coordinates of all 14 atoms:
O  0.6763  0.2195  0.8848  2 Hf 2.09
O  0.2752  0.2752  0.1743  3 Hf 2.17
O  0.7528  0.3127  0.1818  2 Hf 2.10, 1 Ag 2.27
O  0.3127  0.7528  0.1818  2 Hf 2.10, 1 Ag 2.27
O  0.2195  0.6763  0.8848  2 Hf 2.09
O  0.7054  0.7054  0.8839  3 Hf 2.16
O  0.7528  0.7528  0.1818  2 Hf 2.10, 1 Ag 2.27
O  0.2195  0.2195  0.8848  2 Hf 2.09
Hf  0.4908  0.9896  0.0289  6 O 2.09-2.17
Hf  0.9896  0.4908  0.0289  6 O 2.09-2.17
Hf  0.4908  0.4908  0.0289  6 O 2.09-2.17
Cs  0.1373  0.1373  0.5882  4 O 2.98-3.02
Cs  0.4921  0.4921  0.5236  6 O 2.99-3.15
Ag  0.9781  0.9781  0.0657  6 O 2.27-2.44

Record 4
This record from the Alexandria database describes BeAsP2 after structural relaxation. The functional is GGA-PBE.

- final energy (eV per atom) = -4.784
- space group = I-42d (122)
- total magnetic moment (μB per formula unit) = 0.00
- energy relative to the elements (eV per atom) = 0.0146
- N(E_F) (states/eV/cell) = 4.55

Unit cell a=5.2733 b=5.2733 c=6.4737 alpha=65.97 beta=65.97 gamma=90.00
Last column: nearest neighbours and their distance in Å.
Fractional coordinates of all 8 atoms:
P  0.8750  0.8242  0.7500  2 Be 2.14
P  0.3750  0.4258  0.7500  2 Be 2.14
P  0.5742  0.1250  0.2500  2 Be 2.14
P  0.1758  0.6250  0.2500  2 Be 2.14
As  0.7500  0.2500  0.5000  4 P 2.45
As  0.0000  0.0000  0.0000  4 P 2.45
Be  0.5000  0.5000  0.0000  4 P 2.14
Be  0.2500  0.7500  0.5000  4 P 2.14

Record 5
This record from the Alexandria database describes Li2TiN after structural relaxation. The functional is GGA-PBE.

- final energy (eV per atom) = -5.217
- space group = I-42d (122)
- total magnetic moment (μB per formula unit) = 0.00
- N(E_F) (states/eV/cell) = 4.52
- uncorrected formation energy (eV per atom) = -0.2054

Unit cell a=7.4109 b=7.4109 c=5.6007 alpha=48.58 beta=48.58 gamma=90.00
Last column: nearest neighbours and their distance in Å.
Fractional coordinates of all 8 atoms:
Li  0.8750  0.7515  0.7500  2 N 2.13
Li  0.3750  0.4985  0.7500  2 N 2.13
Li  0.2485  0.6250  0.2500  2 N 2.13
Li  0.5015  0.1250  0.2500  2 N 2.13
N  0.5000  0.5000  0.0000  2 Ti 1.98, 4 Li 2.13
N  0.2500  0.7500  0.5000  2 Ti 1.98, 4 Li 2.13
Ti  0.7500  0.2500  0.5000  2 N 1.98
Ti  0.0000  0.0000  0.0000  2 N 1.98

Record 6
This record from the Alexandria database describes TcAuSCl2 after structural relaxation. The functional is GGA-PBE.

- final energy (eV per atom) = -3.498
- space group = P4/mmm (123)
- total magnetic moment (μB per formula unit) = 4.97
- N(E_F) (states/eV/cell) = 1.92
- uncorrected formation energy (eV per atom) = 0.7947

Unit cell a=4.8968 b=4.8968 c=5.0784 alpha=90.00 beta=90.00 gamma=90.00
Last column: nearest neighbours and their distance in Å.
Fractional coordinates of all 5 atoms:
S  0.0000  0.0000  0.5000  2 Au 2.54
Cl  0.0000  0.5000  0.0000  2 Au 2.45
Cl  0.5000  0.0000  0.0000  2 Au 2.45
Au  0.0000  0.0000  0.0000  4 Cl 2.45, 2 S 2.54
Tc  0.5000  0.5000  0.5000  4 S 3.46, 8 Cl 3.53

Record 7
This record from the Alexandria database describes BaNaAs2Pt2 after structural relaxation. The functional is GGA-PBE.

- final energy (eV per atom) = -4.786
- space group = P-3m1 (164)
- total magnetic moment (μB per formula unit) = 0.00
- energy relative to the elements (eV per atom) = -0.6827
- N(E_F) (states/eV/cell) = 4.27

Unit cell a=4.2647 b=4.2647 c=9.2637 alpha=90.00 beta=90.00 gamma=120.00
Last column: nearest neighbours and their distance in Å.
Fractional coordinates of all 6 atoms:
As  0.6667  0.3333  0.7305  3 Pt 2.46
As  0.3333  0.6667  0.2695  3 Pt 2.46
Pt  0.6667  0.3333  0.2649  3 As 2.46
Pt  0.3333  0.6667  0.7351  3 As 2.46
Ba  0.0000  0.0000  0.0000  6 Pt 3.48, 6 As 3.51
Na  0.0000  0.0000  0.5000  6 As 3.26, 6 Pt 3.29

Record 8
This record from the Alexandria database describes ScCdRu2 after structural relaxation. The functional is GGA-PBE.

- final energy (eV per atom) = -6.358
- space group = Immm (71)
- total magnetic moment (μB per formula unit) = 0.00
- energy relative to the elements (eV per atom) = 0.0914
- N(E_F) (states/eV/cell) = 4.62

Unit cell a=5.2862 b=5.2862 c=5.2862 alpha=144.95 beta=126.54 gamma=65.54
Last column: nearest neighbours and their distance in Å.
Fractional coordinates of all 4 atoms:
Cd  0.2500  0.7500  0.5000  4 Ru 2.82, 4 Sc 2.86
Sc  0.7500  0.2500  0.5000  4 Ru 2.64, 4 Cd 2.86
Ru  0.5124  0.5124  0.0000  2 Sc 2.64, 2 Cd 2.82, 4 Ru 2.87
Ru  0.9876  0.9876  0.0000  2 Sc 2.64, 2 Cd 2.82, 4 Ru 2.87

Record 9
This record from the Alexandria database describes Ac2GaCu6Rh after structural relaxation. The functional is GGA-PBE.

- final energy (eV per atom) = -4.548
- space group = P-1 (2)
- total magnetic moment (μB per formula unit) = 0.00
- energy relative to the elements (eV per atom) = -0.2304
- N(E_F) (states/eV/cell) = 4.90

Unit cell a=6.6011 b=6.8855 c=6.8927 alpha=41.86 beta=81.44 gamma=96.98
Last column: nearest neighbours and their distance in Å.
Fractional coordinates of all 10 atoms:
Ga  0.0000  0.0000  0.0000  6 Cu 2.44-2.66
Cu  0.7423  0.7298  0.4906  4 Cu 2.44-2.53, 1 Ga 2.44, 1 Rh 2.61
Cu  0.5743  0.7476  0.1732  4 Cu 2.47-2.53, 1 Ga 2.66, 1 Rh 2.75
Cu  0.4257  0.2524  0.8268  4 Cu 2.47-2.53, 1 Ga 2.66, 1 Rh 2.75
Cu  0.2577  0.2702  0.5094  4 Cu 2.44-2.53, 1 Ga 2.44, 1 Rh 2.61
Cu  0.7424  0.2350  0.9852  4 Cu 2.44-2.52, 1 Ga 2.45, 1 Rh 2.62
Cu  0.2576  0.7650  0.0148  4 Cu 2.44-2.52, 1 Ga 2.45, 1 Rh 2.62
Ac  0.2302  0.7770  0.5455  9 Cu 3.14-3.43, 2 Rh 3.17-3.20
Ac  0.7698  0.2230  0.4545  9 Cu 3.14-3.43, 2 Rh 3.17-3.20
Rh  0.5000  0.5000  0.0000  6 Cu 2.61-2.75

Record 10
This record from the Alexandria database describes TlZnSn2 after structural relaxation. The functional is GGA-PBE.

- final energy (eV per atom) = -2.796
- space group = R-3m (166)
- total magnetic moment (μB per formula unit) = 0.00
- energy relative to the elements (eV per atom) = 0.1157
- N(E_F) (states/eV/cell) = 1.94

Unit cell a=3.3602 b=3.3602 c=10.9749 alpha=81.19 beta=81.19 gamma=60.00
Last column: nearest neighbours and their distance in Å.
Fractional coordinates of all 4 atoms:
Sn  0.9010  0.9010  0.2969  3 Zn 2.93, 1 Tl 3.21
Sn  0.0990  0.0990  0.7031  3 Zn 2.93, 1 Tl 3.21
Zn  0.5000  0.5000  0.5000  6 Sn 2.93
Tl  0.0000  0.0000  0.0000  2 Sn 3.21, 6 Tl 3.36

Record 11
This record from the Alexandria database describes Ac2Ho2Pd15 after structural relaxation. The functional is GGA-PBE.

- final energy (eV per atom) = -5.633
- space group = R-3m (166)
- total magnetic moment (μB per formula unit) = 0.00
- energy relative to the elements (eV per atom) = -0.6189
- N(E_F) (states/eV/cell) = 13.71

Unit cell a=7.1924 b=7.1924 c=7.1924 alpha=80.91 beta=80.91 gamma=80.91
Last column: nearest neighbours and their distance in Å.
Fractional coordinates of all 19 atoms:
Pd  0.3484  0.3484  0.8453  8 Pd 2.71-2.95, 1 Ho 2.91
Pd  0.1547  0.6516  0.6516  8 Pd 2.71-2.95, 1 Ho 2.91
Pd  0.0000  0.2995  0.7005  8 Pd 2.78-2.95
Pd  0.0000  0.7005  0.2995  8 Pd 2.78-2.95
Pd  0.0000  0.5000  0.0000  8 Pd 2.71-2.78, 2 Ho 2.83
Pd  0.7005  0.2995  0.0000  8 Pd 2.78-2.95
Pd  0.5000  0.0000  0.0000  8 Pd 2.71-2.78, 2 Ho 2.83
Pd  0.0000  0.0000  0.5000  8 Pd 2.71-2.78, 2 Ho 2.83
Pd  0.7005  0.0000  0.2995  8 Pd 2.78-2.95
Pd  0.3484  0.8453  0.3484  8 Pd 2.71-2.95, 1 Ho 2.91
Pd  0.6516  0.1547  0.6516  8 Pd 2.71-2.95, 1 Ho 2.91
Pd  0.6516  0.6516  0.1547  8 Pd 2.71-2.95, 1 Ho 2.91
Pd  0.2995  0.0000  0.7005  8 Pd 2.78-2.95
Pd  0.2995  0.7005  0.0000  8 Pd 2.78-2.95
Pd  0.8453  0.3484  0.3484  8 Pd 2.71-2.95, 1 Ho 2.91
Ac  0.3569  0.3569  0.3569  12 Pd 3.25-3.49, 1 Ho 3.57
Ac  0.6431  0.6431  0.6431  12 Pd 3.25-3.49, 1 Ho 3.57
Ho  0.8929  0.8929  0.8929  6 Pd 2.83-2.91, 1 Ho 3.06
Ho  0.1071  0.1071  0.1071  6 Pd 2.83-2.91, 1 Ho 3.06

Record 12
This record from the Alexandria database describes TaReCl2 after structural relaxation. The functional is GGA-PBE.

- final energy (eV per atom) = -7.407
- space group = Cm (8)
- total magnetic moment (μB per formula unit) = 0.00
- N(E_F) (states/eV/cell) = 1.48
- uncorrected formation energy (eV per atom) = -0.4088

Unit cell a=9.2450 b=3.2070 c=5.5632 alpha=90.00 beta=90.42 gamma=90.00
Last column: nearest neighbours and their distance in Å.
Fractional coordinates of all 8 atoms:
Cl  0.8137  0.5000  0.3263  3 Re 2.61-2.62
Cl  0.8137  0.0000  0.8263  3 Re 2.61-2.62
Cl  0.2166  0.0000  0.4826  3 Ta 2.61
Cl  0.2166  0.5000  0.9826  3 Ta 2.61
Re  0.6140  0.0000  0.4901  3 Ta 2.60-2.62, 3 Cl 2.61-2.62
Re  0.6140  0.5000  0.9901  3 Ta 2.60-2.62, 3 Cl 2.61-2.62
Ta  0.4150  0.0000  0.8186  3 Re 2.60-2.62, 3 Cl 2.61
Ta  0.4150  0.5000  0.3186  3 Re 2.60-2.62, 3 Cl 2.61

Record 13
This record from the Alexandria database describes Al4Ni3Pt after structural relaxation. The functional is GGA-PBE.

- final energy (eV per atom) = -5.521
- space group = P4/mmm (123)
- total magnetic moment (μB per formula unit) = 0.00
- energy relative to the elements (eV per atom) = -0.7263
- N(E_F) (states/eV/cell) = 4.40

Unit cell a=2.9262 b=2.9262 c=11.9223 alpha=90.00 beta=90.00 gamma=90.00
Last column: nearest neighbours and their distance in Å.
Fractional coordinates of all 8 atoms:
Al  0.0000  0.0000  0.1417  4 Ni 2.51, 4 Pt 2.67
Al  0.0000  0.0000  0.8583  4 Ni 2.51, 4 Pt 2.67
Al  0.0000  0.0000  0.3807  8 Ni 2.51-2.52
Al  0.0000  0.0000  0.6193  8 Ni 2.51-2.52
Ni  0.5000  0.5000  0.7393  8 Al 2.51-2.52
Ni  0.5000  0.5000  0.5000  8 Al 2.51
Ni  0.5000  0.5000  0.2607  8 Al 2.51-2.52
Pt  0.5000  0.5000  0.0000  8 Al 2.67, 4 Pt 2.93